[1]
Computed, not measured: crystalline Cr4Cu2S at its relaxed geometry at the GGA-PBE level of DFT.

Unit cell a=4.1992 b=4.1992 c=6.9377 alpha=72.38 beta=72.38 gamma=90.00
Closest atoms and distances in Å follow each position.
Positions (direct):
Cr  0.8149  0.8149  0.3702  1 S 2.32, 1 Cu 2.49
Cr  0.1851  0.1851  0.6298  1 S 2.32, 1 Cu 2.49
Cr  0.0000  0.5000  0.0000  2 S 2.10
Cr  0.5000  0.0000  0.0000  2 S 2.10
S  0.0000  0.0000  0.0000  6 Cr 2.10-2.32
Cu  0.6165  0.6165  0.7670  5 Cr 2.49-2.56
Cu  0.3835  0.3835  0.2330  5 Cr 2.49-2.56

Results
Uncorrected formation energy   0.648 eV/atom
Space-group type   I4/mmm (139)
Total magnetic moment   10.9 μB per formula unit
DFT total energy   -46.3 eV for the cell shown

[2]
Computed, not measured: crystalline Cr2CuS at its relaxed geometry at the GGA-PBE level of DFT.

Unit cell a=4.0276 b=4.0276 c=4.0276 alpha=60.00 beta=60.00 gamma=60.00
Closest atoms and distances in Å follow each position.
Positions (direct):
Cr  0.2500  0.2500  0.2500  4 Cu 2.47, 4 S 2.47
Cr  0.7500  0.7500  0.7500  4 Cu 2.47, 4 S 2.47
S  0.0000  0.0000  0.0000  8 Cr 2.47
Cu  0.5000  0.5000  0.5000  8 Cr 2.47

Results
Uncorrected formation energy   0.347 eV/atom
Space-group type   Fm-3m (225)
Total magnetic moment   0.0 μB per formula unit
E above lowest polymorph   0 meV per atom
DFT total energy   -26.1 eV for the cell shown

[3]
Computed, not measured: crystalline CrCuS2 at its relaxed geometry at the GGA-PBE level of DFT.

Unit cell a=6.4492 b=6.4492 c=6.4492 alpha=31.70 beta=31.70 gamma=31.70
Closest atoms and distances in Å follow each position.
Positions (direct):
Cr  0.9994  0.9994  0.9994  6 S 2.37-2.50
S  0.7449  0.7449  0.7449  3 Cu 2.38, 3 Cr 2.50
S  0.2661  0.2661  0.2661  1 Cu 2.21, 3 Cr 2.37
Cu  0.1459  0.1459  0.1459  4 S 2.21-2.38

Results
Uncorrected formation energy   -0.517 eV/atom
Space-group type   R3m (160)
Total magnetic moment   3.0 μB per formula unit
DFT total energy   -24.0 eV for the cell shown